VASP calculation (PBE-GGA) on a relaxed structure of FeI2.

For the formation energy without anion corrections, the calculation gives -0.08 eV/atom. As for the electronic total energy: -3.932 eV/atom. For the theoretical density, the calculation gives 5.0 g/cm³. Its volume is 103 Å³/f.u. The value obtained for the total magnetic moment is 1.33 μB per atom. Its density of states at the Fermi level is 1.046 states/eV per atom.

It has space group P-3m1 (No. 164), with a = 4.0077 Å, b = 4.0077 Å, c = 7.4349 Å, α = 90.00°, β = 90.00° and γ = 120.00°. The distinct sites, in fractional coordinates, are Fe at (0.0000, 0.0000, 0.0000) and I at (0.3333, 0.6667, 0.2175).